Entry 1:
Entry from the Alexandria database: a relaxed structure of AgO3 (PBE).

Results
The formation energy (no corrections) is 0.19 eV per atom. Its total magnetic moment is 1.02 μB per formula unit.

Lattice parameters (Å, degrees): 4.252 4.252 6.046 90.00 90.00 90.77
Site moments in Bohr magnetons follow the coordinates.
Fractional coordinates of all 8 atoms:
1 O 0.244 0.516 0.868  0.23
2 O 0.744 0.016 0.632  0.23
3 O 0.016 0.744 0.368  0.23
4 O 0.516 0.244 0.132  0.23
5 O 0.510 0.510 0.000  0.28
6 O 0.010 0.010 0.500  0.28
7 Ag 0.485 0.485 0.500  0.17
8 Ag 0.985 0.985 0.000  0.17

***

Entry 2:
Entry from the Alexandria database: a relaxed structure of Ba3Na13 (PBE).

Results
Its total magnetic moment is 0.00 μB per formula unit. The energy of formation from the pure elements comes out at 48 meV per atom.

Lattice parameters (Å, degrees): 9.061 9.061 8.421 90.00 90.00 91.41
Fractional coordinates of all 16 atoms:
1 Na 0.749 0.704 0.500
2 Na 0.256 0.744 0.500
3 Na 0.500 0.975 0.265
4 Na 0.725 0.275 0.500
5 Na 0.474 0.526 0.263
6 Na 0.261 0.274 0.000
7 Na 0.025 0.500 0.265
8 Na 0.265 0.735 0.000
9 Na 0.474 0.526 0.737
10 Na 0.500 0.975 0.735
11 Na 0.296 0.251 0.500
12 Na 0.726 0.739 0.000
13 Na 0.025 0.500 0.735
14 Ba 0.720 0.280 0.000
15 Ba 0.002 0.998 0.746
16 Ba 0.002 0.998 0.254

***

Entry 3:
Entry from the Alexandria database: a relaxed structure of LiNd3O (PBE).

Results
The formation energy (no corrections) is -1.03 eV per atom. Its total magnetic moment is 0.00 μB per formula unit.

Lattice parameters (Å, degrees): 5.005 5.005 5.005 90.00 90.00 90.00
Fractional coordinates of all 5 atoms:
1 Li 0.500 0.500 0.500
2 Nd 0.000 0.500 0.000
3 Nd 0.500 0.000 0.000
4 Nd 0.000 0.000 0.500
5 O 0.000 0.000 0.000

***

Entry 4:
Entry from the Alexandria database: a relaxed structure of LaAl3NiAg (PBE).

Results
Its total magnetic moment is 0.00 μB per formula unit. The energy of formation from the pure elements comes out at -327 meV per atom.

Lattice parameters (Å, degrees): 6.095 6.120 6.962 116.08 90.00 90.00
Fractional coordinates of all 12 atoms:
1 Al 0.750 0.868 0.735
2 Al 0.500 0.279 0.000
3 Al 0.000 0.721 0.000
4 Al 0.000 0.279 0.000
5 Al 0.250 0.132 0.265
6 Al 0.500 0.721 0.000
7 Ag 0.250 0.350 0.700
8 Ag 0.750 0.650 0.300
9 La 0.250 0.727 0.455
10 La 0.750 0.273 0.545
11 Ni 0.250 0.934 0.868
12 Ni 0.750 0.066 0.132

***

Entry 5:
Entry from the Alexandria database: a relaxed structure of Li2MnN2 (PBE).

Results
The formation energy (no corrections) is -0.31 eV per atom. Its total magnetic moment is 0.20 μB per formula unit.

Lattice parameters (Å, degrees): 2.649 5.333 6.149 90.00 90.00 104.38
Site moments in Bohr magnetons follow the coordinates.
Fractional coordinates of all 10 atoms:
1 N 0.249 0.497 0.158  0.00
2 N 0.049 0.098 0.941  0.01
3 N 0.951 0.902 0.441  0.01
4 N 0.751 0.503 0.658  0.00
5 Li 0.418 0.837 0.803  0.00
6 Li 0.582 0.163 0.303  0.00
7 Li 0.899 0.798 0.134  0.00
8 Li 0.101 0.202 0.634  0.00
9 Mn 0.680 0.361 0.949  0.17
10 Mn 0.320 0.639 0.449  0.17

***

Entry 6:
Entry from the Alexandria database: a relaxed structure of Na4TbDy3S8 (PBE).

Results
The formation energy (no corrections) is -1.85 eV per atom. Its total magnetic moment is 0.00 μB per formula unit.

Lattice parameters (Å, degrees): 7.980 8.117 7.980 119.47 120.00 90.00
Fractional coordinates of all 16 atoms:
1 S 0.243 0.727 0.486
2 S 0.742 0.726 0.484
3 S 0.741 0.727 0.984
4 S 0.259 0.273 0.016
5 S 0.757 0.273 0.514
6 S 0.757 0.273 0.016
7 S 0.243 0.727 0.984
8 S 0.258 0.274 0.516
9 Na 0.500 0.000 0.000
10 Na 0.500 0.000 0.500
11 Na 0.000 0.000 0.500
12 Na 0.000 0.000 0.000
13 Dy 0.500 0.500 0.500
14 Dy 0.500 0.500 0.000
15 Dy 0.000 0.500 0.500
16 Tb 0.000 0.500 0.000

***

Computed electronic total energy (eV per atom) in order:
-4.24 -1.38 -5.26 -4.46 -6.24 -5.39